## CoAs (PBE)

Data for a relaxed CoAs crystal.

Values from the calculation:
SG: No. 123
energy: -11.5 eV/cell

Unit cell a=2.908 b=2.908 c=3.132 alpha=90.00 beta=90.00 gamma=90.00
Atoms (fractional coordinates):
Co  0.000  0.000  0.000
As  0.500  0.500  0.500


## Gd2ErCo2B2N3 (PBE)

Data for a relaxed Gd2ErCo2B2N3 crystal.

Values from the calculation:
SG: No. 139
energy: -78.5 eV/cell

Unit cell a=10.210 b=10.210 c=10.210 alpha=160.34 beta=160.34 gamma=27.94
Atoms (fractional coordinates):
Gd  0.124  0.124  0.000
Gd  0.876  0.876  0.000
Er  0.500  0.500  0.000
Co  0.250  0.750  0.500
Co  0.750  0.250  0.500
B  0.306  0.306  0.000
B  0.694  0.694  0.000
N  0.000  0.000  0.000
N  0.383  0.383  0.000
N  0.617  0.617  0.000


## HfBi2Pb (PBE)

Data for a relaxed HfBi2Pb crystal.

Values from the calculation:
SG: No. 216
energy: -81.2 eV/cell

Unit cell a=7.630 b=7.630 c=7.630 alpha=90.00 beta=90.00 gamma=90.00
Atoms (fractional coordinates):
Hf  0.000  0.000  0.000
Hf  0.000  0.500  0.500
Hf  0.500  0.000  0.500
Hf  0.500  0.500  0.000
Bi  0.000  0.000  0.500
Bi  0.000  0.500  0.000
Bi  0.250  0.250  0.250
Bi  0.250  0.750  0.750
Bi  0.500  0.000  0.000
Bi  0.500  0.500  0.500
Bi  0.750  0.250  0.750
Bi  0.750  0.750  0.250
Pb  0.250  0.250  0.750
Pb  0.250  0.750  0.250
Pb  0.750  0.250  0.250
Pb  0.750  0.750  0.750


## GdHo2Mg3Tl2Cd (PBE)

Data for a relaxed GdHo2Mg3Tl2Cd crystal.

Values from the calculation:
SG: No. 38
energy: -27.0 eV/cell

Unit cell a=4.624 b=7.567 c=7.567 alpha=120.28 beta=90.00 gamma=90.00
Atoms (fractional coordinates):
Gd  0.000  0.000  0.000
Ho  0.000  0.147  0.573
Ho  0.000  0.573  0.147
Mg  0.500  0.333  0.333
Mg  0.500  0.573  0.812
Mg  0.500  0.812  0.573
Tl  0.500  0.241  0.906
Tl  0.500  0.906  0.241
Cd  0.000  0.570  0.570


## BeZnFeB (PBE)

Data for a relaxed BeZnFeB crystal.

Values from the calculation:
relative energy among the computed polymorphs: 0 meV per atom
SG: No. 216

Unit cell a=5.262 b=5.262 c=5.262 alpha=90.00 beta=90.00 gamma=90.00
Atoms (fractional coordinates):
Be  0.000  0.000  0.000
Be  0.000  0.500  0.500
Be  0.500  0.000  0.500
Be  0.500  0.500  0.000
Zn  0.250  0.250  0.750
Zn  0.250  0.750  0.250
Zn  0.750  0.250  0.250
Zn  0.750  0.750  0.750
Fe  0.250  0.250  0.250
Fe  0.250  0.750  0.750
Fe  0.750  0.250  0.750
Fe  0.750  0.750  0.250
B  0.000  0.000  0.500
B  0.000  0.500  0.000
B  0.500  0.000  0.000
B  0.500  0.500  0.500


## HoCdIr (PBE)

Data for a relaxed HoCdIr crystal.

Values from the calculation:
ΔH_f (0 K): 10.5 kJ per mole of atoms
SG: No. 216

Unit cell a=6.634 b=6.634 c=6.634 alpha=90.00 beta=90.00 gamma=90.00
Atoms (fractional coordinates):
Ho  0.000  0.000  0.000
Ho  0.000  0.500  0.500
Ho  0.500  0.000  0.500
Ho  0.500  0.500  0.000
Cd  0.250  0.250  0.750
Cd  0.250  0.750  0.250
Cd  0.750  0.250  0.250
Cd  0.750  0.750  0.750
Ir  0.250  0.250  0.250
Ir  0.250  0.750  0.750
Ir  0.750  0.250  0.750
Ir  0.750  0.750  0.250